DFT (PBE) results for an optimized crystal structure of YTc4Ir.

Lattice parameters (Å, degrees): 5.2198 5.2198 5.2198 60.00 60.00 60.00
Fractional coordinates of all 6 atoms:
Y1 0.0000 0.0000 0.0000
Tc1 0.3746 0.3746 0.3746
Tc2 0.3746 0.3746 0.8761
Tc3 0.3746 0.8761 0.3746
Tc4 0.8761 0.3746 0.3746
Ir1 0.7500 0.7500 0.7500

Computed properties:
- SG = F-43m (216)
- formation energy (kJ/mol of atoms) = 13

***

DFT (PBE) results for an optimized crystal structure of CsUTl2Br8.

Lattice parameters (Å, degrees): 6.8546 7.9982 10.3104 90.11 90.04 93.96
Fractional coordinates of all 12 atoms:
Cs1 0.0000 0.0000 0.0000
U1 0.0000 0.0000 0.5000
Tl1 0.4997 0.4994 0.7784
Tl2 0.5003 0.5006 0.2216
Br1 0.1376 0.7988 0.3137
Br2 0.1390 0.7998 0.6859
Br3 0.3340 0.1952 0.4996
Br4 0.4627 0.2495 0.0000
Br5 0.5373 0.7505 0.0000
Br6 0.6660 0.8048 0.5004
Br7 0.8610 0.2002 0.3141
Br8 0.8624 0.2012 0.6863

Computed properties:
- raw formation energy (meV/atom) = -1201.7
- SG = P-1 (2)

***

DFT (PBE) results for an optimized crystal structure of BaY2TiB.

Lattice parameters (Å, degrees): 5.4286 5.4286 4.6588 90.00 90.00 90.00
Fractional coordinates of all 5 atoms:
Ba1 0.0000 0.0000 0.0000
Y1 0.0000 0.5000 0.5000
Y2 0.5000 0.0000 0.5000
Ti1 0.5000 0.5000 0.5000
B1 0.5000 0.5000 0.0000

Computed properties:
- SG = P4/mmm (123)
- formation energy (kJ/mol of atoms) = 74